(1)
## YErNi2 (GGA-PBE)

Data for a relaxed structure of YErNi2.

POSCAR file:
```
YErNi2
1.0
-2.386 1.095 3.228
3.574 -2.256 3.407
3.436 6.136 0.459
Y Ni Er
2 4 2
Cartesian
3.829 4.190 4.092
1.277 1.648 3.066
1.451 -0.619 1.282
2.549 6.185 2.468
3.539 1.407 4.821
4.087 1.870 2.387
2.754 3.915 0.708
3.780 -0.884 3.094
```

Values from the calculation:
Crystal system: orthorhombic
Energy above the lowest structure with this stoichiometry: 3 meV/atom
ΔE_f: -0.46 eV per atom
Space group: Pmc2_1, No. 26



(2)
## YErNi2 (GGA-PBE)

Data for a relaxed structure of YErNi2.

POSCAR file:
```
YErNi2
1.0
4.766 0.000 0.000
2.383 4.128 0.000
2.383 1.376 3.892
Ni Er Y
2 1 1
Cartesian
7.149 4.128 2.919
2.383 1.376 0.973
0.000 0.000 0.000
4.766 2.752 1.946
```

Values from the calculation:
Crystal system: cubic
Energy above the lowest structure with this stoichiometry: 64 meV/atom
ΔE_f: -0.40 eV per atom
Space group: Fm-3m, No. 225



(3)
## YEr6Ni2 (GGA-PBE)

Data for a relaxed structure of YEr6Ni2.

POSCAR file:
```
YEr6Ni2
1.0
-4.729 -3.228 -6.255
5.917 -5.774 1.887
-4.079 1.575 7.266
Er Y Ni
12 2 4
Cartesian
-1.412 -3.399 6.620
-5.920 -2.876 -0.130
-3.566 -4.504 1.792
-2.109 -1.806 3.148
3.030 -4.551 3.028
1.685 -5.228 6.129
-0.458 -5.205 3.428
0.676 -2.923 1.105
-4.575 -2.199 -3.232
-1.479 -4.029 -3.722
-0.781 -5.621 -0.251
-2.433 -2.222 -0.531
0.000 0.000 0.000
0.919 -2.099 4.576
1.294 -6.100 1.301
0.434 -3.287 -1.595
-4.184 -1.327 1.597
0.754 -5.715 -2.773
```

Values from the calculation:
Crystal system: orthorhombic
ΔE_f: -0.13 eV per atom
Space group: Immm, No. 71



(4)
## YEr12Ni6 (GGA-PBE)

Data for a relaxed structure of YEr12Ni6.

POSCAR file:
```
YEr12Ni6
1.0
-0.688 1.475 -8.290
-7.187 -3.396 2.862
1.485 7.269 4.040
Ni Er Y
6 12 1
Cartesian
-3.826 1.699 2.779
-6.083 0.497 -0.118
-2.564 3.650 -4.167
-2.551 5.227 1.852
-0.308 4.852 -1.270
-3.839 0.123 -3.240
-2.891 5.232 -0.972
-3.783 4.281 3.973
-3.499 0.117 -0.416
-1.626 2.816 1.363
-1.203 2.365 -2.321
-0.902 5.672 -3.928
0.087 5.959 1.081
-5.488 -0.323 2.541
-5.187 2.984 0.934
-4.764 2.533 -2.751
-2.607 1.069 -5.361
-6.477 -0.609 -2.469
0.000 0.000 0.000
```

Values from the calculation:
Crystal system: cubic
ΔE_f: -0.25 eV per atom
Space group: Im-3, No. 204



(5)
## YErNi (GGA-PBE)

Data for a relaxed structure of YErNi.

POSCAR file:
```
YErNi
1.0
-3.330 -0.372 0.489
0.633 -6.771 -0.820
2.469 1.238 6.008
Y Ni Er
2 2 2
Cartesian
0.730 -3.270 5.217
0.228 -2.936 2.051
-1.018 -5.081 3.662
-1.354 -1.497 4.095
0.415 0.111 5.634
0.542 -6.317 1.634
```

Values from the calculation:
Crystal system: monoclinic
Energy above the lowest structure with this stoichiometry: 45 meV/atom
ΔE_f: -0.25 eV per atom
Space group: C2/m, No. 12



(6)
## YErNi (GGA-PBE)

Data for a relaxed structure of YErNi.

POSCAR file:
```
YErNi
1.0
3.453 0.657 -0.579
0.199 6.459 -2.433
1.108 -0.031 6.548
Y Ni Er
2 2 2
Cartesian
2.562 3.947 -1.301
1.202 4.415 2.048
0.533 5.725 -0.426
3.232 2.637 1.172
2.001 1.219 3.191
1.565 0.683 -0.013
```

Values from the calculation:
Crystal system: triclinic
Energy above the lowest structure with this stoichiometry: 14 meV/atom
ΔE_f: -0.29 eV per atom
Space group: P-1, No. 2



(7)
## YEr2Ni9 (GGA-PBE)

Data for a relaxed structure of YEr2Ni9.

POSCAR file:
```
YEr2Ni9
1.0
4.956 0.000 0.000
-2.478 4.292 0.000
0.000 0.000 16.133
Ni Er Y
18 4 2
Cartesian
1.234 3.574 6.036
-1.234 3.574 2.031
-1.234 3.574 6.036
1.234 3.574 2.031
0.000 0.000 4.033
0.000 1.437 2.031
0.000 0.000 0.000
0.000 0.000 12.100
0.000 2.861 4.033
2.478 2.856 10.097
2.478 2.856 14.102
0.000 0.000 8.066
2.478 1.431 12.100
3.712 0.718 14.102
0.000 1.437 6.036
1.244 0.718 10.097
3.712 0.718 10.097
1.244 0.718 14.102
0.000 2.861 15.467
2.478 1.431 0.666
2.478 1.431 7.401
0.000 2.861 8.732
2.478 1.431 4.033
0.000 2.861 12.100
```

Values from the calculation:
Crystal system: hexagonal
ΔE_f: -0.43 eV per atom
Space group: P6_3/mmc, No. 194



(8)
## Y4Er3Ni4 (GGA-PBE)

Data for a relaxed structure of Y4Er3Ni4.

POSCAR file:
```
Y4Er3Ni4
1.0
-2.594 2.752 -0.077
-2.624 -2.239 8.368
7.604 4.530 -1.298
Er Ni Y
3 4 4
Cartesian
1.278 3.982 6.361
-1.312 -1.119 4.184
1.108 1.062 0.632
1.090 1.183 5.553
1.296 3.861 1.439
-1.677 1.052 1.172
-3.541 -0.539 7.118
3.894 3.680 0.385
-0.532 2.196 3.494
-1.508 1.363 6.608
2.918 2.848 3.498
```

Values from the calculation:
Crystal system: orthorhombic
ΔE_f: -0.22 eV per atom
Space group: Immm, No. 71



(9)
## YErNi (GGA-PBE)

Data for a relaxed structure of YErNi.

POSCAR file:
```
YErNi
1.0
-1.792 -3.021 1.739
2.232 -0.603 -3.165
4.854 -0.819 3.579
Y Ni Er
1 1 1
Cartesian
0.440 -0.074 0.325
1.189 -2.492 1.313
3.665 -1.878 0.515
```

Values from the calculation:
Crystal system: trigonal
Energy above the lowest structure with this stoichiometry: 134 meV/atom
ΔE_f: -0.17 eV per atom
Space group: P3m1, No. 156



(10)
## YErNi2 (GGA-PBE)

Data for a relaxed structure of YErNi2.

POSCAR file:
```
YErNi2
1.0
3.318 0.000 0.000
0.000 4.794 0.000
0.000 0.000 4.794
Er Ni Y
1 2 1
Cartesian
1.659 2.397 2.397
0.000 2.397 0.000
0.000 0.000 2.397
1.659 0.000 0.000
```

Values from the calculation:
Crystal system: tetragonal
Energy above the lowest structure with this stoichiometry: 61 meV/atom
ΔE_f: -0.40 eV per atom
Space group: P4/mmm, No. 123



(11)
## YErNi (GGA-PBE)

Data for a relaxed structure of YErNi.

POSCAR file:
```
YErNi
1.0
3.394 0.000 0.000
0.000 3.394 0.000
-1.697 -1.697 6.198
Ni Er Y
1 1 1
Cartesian
1.697 1.697 2.106
0.000 0.000 3.673
0.000 0.000 0.419
```

Values from the calculation:
Crystal system: tetragonal
Energy above the lowest structure with this stoichiometry: 45 meV/atom
ΔE_f: -0.25 eV per atom
Space group: I4mm, No. 107



(12)
## YEr4Ni2 (GGA-PBE)

Data for a relaxed structure of YEr4Ni2.

POSCAR file:
```
YEr4Ni2
1.0
6.317 0.000 0.000
0.000 6.945 -2.890
0.000 0.054 7.812
Er Y Ni
8 2 4
Cartesian
1.579 1.787 1.955
4.738 5.211 2.967
6.295 2.878 4.812
3.136 4.121 0.110
4.738 0.199 2.953
0.022 4.121 0.110
3.181 2.878 4.812
1.579 6.799 1.969
4.738 1.044 -0.252
1.579 5.955 5.174
4.738 2.670 2.155
4.738 5.143 -2.091
1.579 1.856 7.013
1.579 4.328 2.767
```

Values from the calculation:
Crystal system: monoclinic
ΔE_f: -0.17 eV per atom
Space group: P2_1/m, No. 11



Values for uncorrected energy, eV per cell, ordered as above
-48.84, -24.17, -93.22, -100.75, -35.15, -35.33, -145.47, -65.14, -17.30, -24.19, -17.57, -74.98